Run 1
Compound: Hf31HgO64
Source: the Open Quantum Materials Database
Functional: GGA-PBE
Structure: relaxed

## Properties
Size of the total moment = 1.99 μB/f.u.

a b c (Å): 10.2037 10.3541 10.5393
angles (deg): 89.97 80.68 89.89
Space group P1 (No. 1)
Inequivalent atoms, fractional coordinates:
Hf 0.0000 0.0000 0.0000 x1
Hf 0.0001 0.2087 0.2481 x1
Hf 0.9997 0.5000 0.9977 x1
Hf 0.9998 0.7086 0.7487 x1
Hf 0.0006 0.7079 0.2469 x1
Hf 0.0023 0.0026 0.4980 x1
Hf 0.0024 0.2106 0.7485 x1
Hf 0.0016 0.4995 0.4978 x1
Hf 0.2750 0.9582 0.7916 x1
Hf 0.2763 0.2501 0.0401 x1
Hf 0.2764 0.7476 0.0410 x1
Hf 0.2768 0.4585 0.2903 x1
Hf 0.2765 0.7494 0.5405 x1
Hf 0.2772 0.9578 0.2904 x1
Hf 0.2780 0.2503 0.5417 x1
Hf 0.2792 0.4609 0.7921 x1
Hf 0.4973 0.4972 0.4982 x1
Hf 0.4969 0.5017 0.9998 x1
Hf 0.4992 0.9990 0.9994 x1
Hf 0.5003 0.2080 0.7495 x1
Hf 0.4996 0.2085 0.2474 x1
Hf 0.5002 0.7092 0.2496 x1
Hf 0.5017 0.0025 0.4972 x1
Hf 0.7753 0.2520 0.0403 x1
Hf 0.7760 0.7499 0.0402 x1
Hf 0.7770 0.2503 0.5406 x1
Hf 0.7773 0.4579 0.2902 x1
Hf 0.7772 0.9588 0.2899 x1
Hf 0.7788 0.4585 0.7889 x1
Hf 0.7805 0.9644 0.7938 x1
Hf 0.7853 0.7516 0.5347 x1
Hg 0.5096 0.7174 0.7407 x1
O 0.1008 0.6472 0.0656 x1
O 0.1023 0.0620 0.8163 x1
O 0.1022 0.5611 0.8149 x1
O 0.1020 0.6488 0.5636 x1
O 0.1033 0.1462 0.0663 x1
O 0.1039 0.0624 0.3154 x1
O 0.1035 0.5608 0.3144 x1
O 0.1046 0.1483 0.5656 x1
O 0.1703 0.3937 0.9731 x1
O 0.1719 0.8960 0.9746 x1
O 0.1734 0.3116 0.2236 x1
O 0.1734 0.8112 0.2243 x1
O 0.1732 0.8112 0.7235 x1
O 0.1749 0.3128 0.7236 x1
O 0.1752 0.3976 0.4738 x1
O 0.1745 0.8982 0.4734 x1
O 0.3502 0.5986 0.9164 x1
O 0.3561 0.5962 0.6479 x1
O 0.3619 0.1001 0.1548 x1
O 0.3616 0.1018 0.6552 x1
O 0.3617 0.1076 0.9049 x1
O 0.3623 0.6014 0.1580 x1
O 0.3619 0.6083 0.4036 x1
O 0.3626 0.1091 0.4042 x1
O 0.4081 0.8527 0.8912 x1
O 0.4106 0.8660 0.6326 x1
O 0.4145 0.3478 0.8856 x1
O 0.4138 0.3585 0.1350 x1
O 0.4151 0.8582 0.1361 x1
O 0.4159 0.3504 0.3847 x1
O 0.4156 0.8506 0.3849 x1
O 0.4170 0.3570 0.6356 x1
O 0.5998 0.5515 0.8159 x1
O 0.6020 0.0570 0.8139 x1
O 0.6023 0.1482 0.0641 x1
O 0.6024 0.6479 0.0657 x1
O 0.6040 0.0624 0.3142 x1
O 0.6037 0.1474 0.5656 x1
O 0.6037 0.5616 0.3164 x1
O 0.6115 0.6444 0.5510 x1
O 0.6724 0.3131 0.2224 x1
O 0.6732 0.3984 0.9721 x1
O 0.6736 0.3955 0.4728 x1
O 0.6744 0.8116 0.2241 x1
O 0.6744 0.8986 0.9743 x1
O 0.6750 0.8975 0.4743 x1
O 0.6761 0.3086 0.7247 x1
O 0.6997 0.8074 0.7216 x1
O 0.8613 0.1008 0.1549 x1
O 0.8606 0.5999 0.1540 x1
O 0.8610 0.6087 0.9035 x1
O 0.8623 0.1086 0.4046 x1
O 0.8623 0.1101 0.9057 x1
O 0.8641 0.1014 0.6549 x1
O 0.8638 0.5990 0.6522 x1
O 0.8640 0.6079 0.4023 x1
O 0.9142 0.3581 0.1342 x1
O 0.9144 0.8583 0.1348 x1
O 0.9146 0.3509 0.8839 x1
O 0.9155 0.3506 0.3841 x1
O 0.9162 0.3580 0.6336 x1
O 0.9163 0.8512 0.8851 x1
O 0.9172 0.8511 0.3832 x1
O 0.9200 0.8595 0.6325 x1


Run 2
Compound: Hf31HgO64
Source: the Open Quantum Materials Database
Functional: GGA-PBE
Structure: relaxed

## Properties
Size of the total moment = 0.00 μB/f.u.

a b c (Å): 10.0223 10.1036 10.4612
angles (deg): 90.02 90.06 90.41
Space group P1 (No. 1)
Inequivalent atoms, fractional coordinates:
Hf 0.0000 0.0000 0.0000 x1
Hf 0.9998 0.0007 0.4975 x1
Hf 0.0011 0.2470 0.2817 x1
Hf 0.0006 0.5007 0.0029 x1
Hf 0.0025 0.2431 0.7794 x1
Hf 0.2643 0.7527 0.5273 x1
Hf 0.2660 0.7456 0.0338 x1
Hf 0.2668 0.9897 0.7466 x1
Hf 0.2674 0.9965 0.2477 x1
Hf 0.2691 0.2452 0.0308 x1
Hf 0.2688 0.4955 0.2493 x1
Hf 0.2740 0.2418 0.5333 x1
Hf 0.4970 0.2467 0.7815 x1
Hf 0.4990 0.9951 0.9972 x1
Hf 0.4998 0.2449 0.2808 x1
Hf 0.5004 0.4914 0.4971 x1
Hf 0.4996 0.7458 0.2815 x1
Hf 0.5009 0.4921 0.0004 x1
Hf 0.5005 0.7451 0.7818 x1
Hf 0.5012 0.9951 0.4983 x1
Hf 0.7653 0.7471 0.0324 x1
Hf 0.7654 0.9994 0.7490 x1
Hf 0.7664 0.2480 0.5322 x1
Hf 0.7674 0.4951 0.2487 x1
Hf 0.7672 0.7480 0.5330 x1
Hf 0.7667 0.9970 0.2484 x1
Hf 0.7677 0.2461 0.0302 x1
Hf 0.7699 0.4969 0.7493 x1
Hf 0.9938 0.4982 0.4980 x1
Hf 0.9962 0.7545 0.7843 x1
Hf 0.9987 0.7481 0.2822 x1
Hg 0.2548 0.5101 0.7424 x1
O 0.0901 0.4306 0.8304 x1
O 0.0918 0.9398 0.8312 x1
O 0.0964 0.6774 0.4489 x1
O 0.0974 0.1812 0.9499 x1
O 0.0971 0.6798 0.9477 x1
O 0.0974 0.9274 0.3301 x1
O 0.0980 0.1822 0.4486 x1
O 0.0978 0.4292 0.3349 x1
O 0.1672 0.6765 0.1993 x1
O 0.1693 0.1762 0.1996 x1
O 0.1689 0.9266 0.0805 x1
O 0.1703 0.4278 0.0811 x1
O 0.1697 0.7278 0.6975 x1
O 0.1708 0.4277 0.5756 x1
O 0.1727 0.1791 0.6997 x1
O 0.1763 0.9434 0.5708 x1
O 0.3615 0.1158 0.8815 x1
O 0.3607 0.3702 0.3944 x1
O 0.3622 0.8668 0.8966 x1
O 0.3627 0.6162 0.8852 x1
O 0.3635 0.8726 0.3947 x1
O 0.3643 0.1207 0.3827 x1
O 0.3636 0.6212 0.3825 x1
O 0.3768 0.3612 0.9077 x1
O 0.3996 0.6193 0.6329 x1
O 0.4031 0.6208 0.1321 x1
O 0.4031 0.8710 0.1477 x1
O 0.4047 0.1148 0.6344 x1
O 0.4047 0.1209 0.1318 x1
O 0.4047 0.3717 0.1512 x1
O 0.4091 0.8679 0.6440 x1
O 0.4212 0.3605 0.6335 x1
O 0.5938 0.6772 0.9496 x1
O 0.5953 0.6789 0.4520 x1
O 0.5977 0.9244 0.8312 x1
O 0.5990 0.1762 0.4478 x1
O 0.5986 0.4252 0.3320 x1
O 0.5989 0.9256 0.3316 x1
O 0.6013 0.1714 0.9470 x1
O 0.6037 0.4253 0.8328 x1
O 0.6672 0.9254 0.0824 x1
O 0.6679 0.6744 0.1996 x1
O 0.6694 0.1769 0.1977 x1
O 0.6694 0.6772 0.6998 x1
O 0.6695 0.1785 0.6983 x1
O 0.6712 0.4247 0.0818 x1
O 0.6706 0.9281 0.5811 x1
O 0.6761 0.4325 0.5787 x1
O 0.8595 0.6233 0.8859 x1
O 0.8610 0.6220 0.3842 x1
O 0.8612 0.8745 0.9000 x1
O 0.8624 0.3719 0.3966 x1
O 0.8632 0.8722 0.3983 x1
O 0.8640 0.1225 0.3815 x1
O 0.8636 0.1237 0.8815 x1
O 0.8704 0.3734 0.8984 x1
O 0.9030 0.1237 0.1319 x1
O 0.9028 0.6238 0.1342 x1
O 0.9025 0.8729 0.1487 x1
O 0.9034 0.8762 0.6481 x1
O 0.9041 0.1241 0.6314 x1
O 0.9064 0.3726 0.6477 x1
O 0.9058 0.3739 0.1492 x1
O 0.9074 0.6252 0.6348 x1


Stability ranking, top entry: run 1; the second entry is 2.2 kJ/mol of atoms less favorable.


Run 1
Compound: Hf2Hg2O5
Source: the Open Quantum Materials Database
Functional: GGA-PBE
Structure: relaxed

## Properties
Size of the total moment = 0.00 μB/f.u.

a b c (Å): 3.9702 3.9702 8.2883
angles (deg): 90.00 90.00 90.00
Space group P4/mmm (No. 123)
Inequivalent atoms, fractional coordinates:
Hf 0.0000 0.0000 0.2370 x2
Hg 0.5000 0.5000 0.0000 x1
Hg 0.5000 0.5000 0.5000 x1
O 0.0000 0.0000 0.0000 x1
O 0.0000 0.5000 0.3113 x4


Run 2
Compound: Hf2Hg2O5
Source: the Open Quantum Materials Database
Functional: GGA-PBE
Structure: relaxed

## Properties
Size of the total moment = 2.33 μB/f.u.

a b c (Å): 3.5528 3.5528 9.0967
angles (deg): 90.00 90.00 90.00
Space group P4/mmm (No. 123)
Inequivalent atoms, fractional coordinates:
Hf 0.0000 0.0000 0.0000 x1
Hf 0.0000 0.0000 0.5000 x1
Hg 0.5000 0.5000 0.1853 x2
O 0.0000 0.5000 0.3463 x4
O 0.5000 0.5000 0.5000 x1


Stability ranking, top entry: run 1; the second entry is 144.9 kJ/mol of atoms less favorable.